No. 1
# Sr3SbC | the Alexandria database | GGA-PBE | optimized geometry
data_Sr3SbC
_symmetry_space_group_name_H-M 'P 1'
_symmetry_Int_Tables_number 1
_cell_length_a 5.3255
_cell_length_b 5.3255
_cell_length_c 5.3255
_cell_angle_alpha 90.00
_cell_angle_beta 90.00
_cell_angle_gamma 90.00
loop_
_symmetry_equiv_pos_as_xyz
'x,y,z'
loop_
_atom_site_label
_atom_site_type_symbol
_atom_site_fract_x
_atom_site_fract_y
_atom_site_fract_z
Sr1 Sr 0.0000 0.5000 0.0000
C1 C 0.0000 0.0000 0.0000
Sb1 Sb 0.5000 0.5000 0.5000
Sr2 Sr 0.0000 0.0000 0.5000
Sr3 Sr 0.5000 0.0000 0.0000
# Energy relative to the elements, uncorrected ... -242 meV per atom
# Energy above the most stable polymorph in this dataset ... 0.000 eV per atom

=====

No. 2
# Sr2SbC | the Alexandria database | GGA-PBE | optimized geometry
data_Sr2SbC
_symmetry_space_group_name_H-M 'P 1'
_symmetry_Int_Tables_number 1
_cell_length_a 5.4933
_cell_length_b 5.4933
_cell_length_c 5.4933
_cell_angle_alpha 60.00
_cell_angle_beta 60.00
_cell_angle_gamma 60.00
loop_
_symmetry_equiv_pos_as_xyz
'x,y,z'
loop_
_atom_site_label
_atom_site_type_symbol
_atom_site_fract_x
_atom_site_fract_y
_atom_site_fract_z
Sb1 Sb 0.5000 0.5000 0.5000
Sr1 Sr 0.2500 0.2500 0.2500
C1 C 0.0000 0.0000 0.0000
Sr2 Sr 0.7500 0.7500 0.7500
# Energy relative to the elements, uncorrected ... 479 meV per atom

=====

No. 3
# SrSbC3 | the Alexandria database | GGA-PBE | optimized geometry
data_SrSbC3
_symmetry_space_group_name_H-M 'P 1'
_symmetry_Int_Tables_number 1
_cell_length_a 4.6272
_cell_length_b 4.6272
_cell_length_c 4.6272
_cell_angle_alpha 90.00
_cell_angle_beta 90.00
_cell_angle_gamma 90.00
loop_
_symmetry_equiv_pos_as_xyz
'x,y,z'
loop_
_atom_site_label
_atom_site_type_symbol
_atom_site_fract_x
_atom_site_fract_y
_atom_site_fract_z
C1 C 0.5000 0.0000 0.0000
C2 C 0.0000 0.0000 0.5000
Sr1 Sr 0.0000 0.0000 0.0000
Sb1 Sb 0.5000 0.5000 0.5000
C3 C 0.0000 0.5000 0.0000
# Energy relative to the elements, uncorrected ... 3329 meV per atom
# Energy above the most stable polymorph in this dataset ... 1.368 eV per atom

=====

No. 4
# Sr2SbC | the Alexandria database | GGA-PBE | optimized geometry
data_Sr2SbC
_symmetry_space_group_name_H-M 'P 1'
_symmetry_Int_Tables_number 1
_cell_length_a 8.1899
_cell_length_b 8.1899
_cell_length_c 6.7166
_cell_angle_alpha 52.43
_cell_angle_beta 52.43
_cell_angle_gamma 90.00
loop_
_symmetry_equiv_pos_as_xyz
'x,y,z'
loop_
_atom_site_label
_atom_site_type_symbol
_atom_site_fract_x
_atom_site_fract_y
_atom_site_fract_z
Sr1 Sr 0.5503 0.1250 0.2500
C1 C 0.2500 0.7500 0.5000
Sr2 Sr 0.1997 0.6250 0.2500
C2 C 0.5000 0.5000 0.0000
Sb1 Sb 0.7500 0.2500 0.5000
Sr3 Sr 0.8750 0.8003 0.7500
Sr4 Sr 0.3750 0.4497 0.7500
Sb2 Sb 0.0000 0.0000 0.0000
# Energy relative to the elements, uncorrected ... 387 meV per atom

=====

No. 5
# SrSb2TeC | the Alexandria database | GGA-PBE | optimized geometry
data_SrSb2TeC
_symmetry_space_group_name_H-M 'P 1'
_symmetry_Int_Tables_number 1
_cell_length_a 4.8338
_cell_length_b 4.8338
_cell_length_c 5.4261
_cell_angle_alpha 90.00
_cell_angle_beta 90.00
_cell_angle_gamma 90.00
loop_
_symmetry_equiv_pos_as_xyz
'x,y,z'
loop_
_atom_site_label
_atom_site_type_symbol
_atom_site_fract_x
_atom_site_fract_y
_atom_site_fract_z
Te1 Te 0.0000 0.0000 0.5000
C1 C 0.0000 0.0000 0.0000
Sr1 Sr 0.5000 0.5000 0.5000
Sb1 Sb 0.0000 0.5000 0.0000
Sb2 Sb 0.5000 0.0000 0.0000
# Energy relative to the elements, uncorrected ... 406 meV per atom
# Energy above the most stable polymorph in this dataset ... 0.000 eV per atom

=====

No. 6
# SrSb2TeC | the Alexandria database | GGA-PBE | optimized geometry
data_SrSb2TeC
_symmetry_space_group_name_H-M 'P 1'
_symmetry_Int_Tables_number 1
_cell_length_a 6.1715
_cell_length_b 6.1715
_cell_length_c 6.0153
_cell_angle_alpha 90.00
_cell_angle_beta 90.00
_cell_angle_gamma 90.00
loop_
_symmetry_equiv_pos_as_xyz
'x,y,z'
loop_
_atom_site_label
_atom_site_type_symbol
_atom_site_fract_x
_atom_site_fract_y
_atom_site_fract_z
C1 C 0.5000 0.5000 0.5000
Te1 Te 0.0000 0.0000 0.5000
Sr1 Sr 0.0000 0.0000 0.0000
Sb1 Sb 0.0000 0.5000 0.0000
Sb2 Sb 0.5000 0.0000 0.0000
# Energy relative to the elements, uncorrected ... 1978 meV per atom
# Energy above the most stable polymorph in this dataset ... 1.571 eV per atom

=====

No. 7
# SrTlSb2C | the Alexandria database | GGA-PBE | optimized geometry
data_SrTlSb2C
_symmetry_space_group_name_H-M 'P 1'
_symmetry_Int_Tables_number 1
_cell_length_a 5.6011
_cell_length_b 5.6011
_cell_length_c 6.4603
_cell_angle_alpha 90.00
_cell_angle_beta 90.00
_cell_angle_gamma 90.00
loop_
_symmetry_equiv_pos_as_xyz
'x,y,z'
loop_
_atom_site_label
_atom_site_type_symbol
_atom_site_fract_x
_atom_site_fract_y
_atom_site_fract_z
Sr1 Sr 0.0000 0.0000 0.5000
C1 C 0.5000 0.5000 0.5000
Tl1 Tl 0.0000 0.0000 0.0000
Sb1 Sb 0.0000 0.5000 0.0000
Sb2 Sb 0.5000 0.0000 0.0000
# Energy relative to the elements, uncorrected ... 1628 meV per atom

=====

No. 8
# SrSb2WC | the Alexandria database | GGA-PBE | optimized geometry
data_SrSb2WC
_symmetry_space_group_name_H-M 'P 1'
_symmetry_Int_Tables_number 1
_cell_length_a 5.5089
_cell_length_b 4.0588
_cell_length_c 5.5089
_cell_angle_alpha 90.00
_cell_angle_beta 90.00
_cell_angle_gamma 90.00
loop_
_symmetry_equiv_pos_as_xyz
'x,y,z'
loop_
_atom_site_label
_atom_site_type_symbol
_atom_site_fract_x
_atom_site_fract_y
_atom_site_fract_z
C1 C 0.0000 0.5000 0.0000
Sb1 Sb 0.5000 0.0000 0.0000
Sb2 Sb 0.0000 0.0000 0.5000
W1 W 0.0000 0.0000 0.0000
Sr1 Sr 0.5000 0.5000 0.5000
# Energy relative to the elements, uncorrected ... 431 meV per atom

=====

No. 9
# SrY2SbC | the Alexandria database | GGA-PBE | optimized geometry
data_SrY2SbC
_symmetry_space_group_name_H-M 'P 1'
_symmetry_Int_Tables_number 1
_cell_length_a 4.9046
_cell_length_b 4.9046
_cell_length_c 5.3108
_cell_angle_alpha 90.00
_cell_angle_beta 90.00
_cell_angle_gamma 90.00
loop_
_symmetry_equiv_pos_as_xyz
'x,y,z'
loop_
_atom_site_label
_atom_site_type_symbol
_atom_site_fract_x
_atom_site_fract_y
_atom_site_fract_z
Sr1 Sr 0.0000 0.0000 0.5000
Y1 Y 0.5000 0.0000 0.0000
Sb1 Sb 0.5000 0.5000 0.5000
C1 C 0.0000 0.0000 0.0000
Y2 Y 0.0000 0.5000 0.0000
# Energy relative to the elements, uncorrected ... -498 meV per atom

=====

No. 10
# Ta2SbC | the Alexandria database | GGA-PBE | optimized geometry
data_Ta2SbC
_symmetry_space_group_name_H-M 'P 1'
_symmetry_Int_Tables_number 1
_cell_length_a 4.4942
_cell_length_b 4.4942
_cell_length_c 4.4942
_cell_angle_alpha 60.00
_cell_angle_beta 60.00
_cell_angle_gamma 60.00
loop_
_symmetry_equiv_pos_as_xyz
'x,y,z'
loop_
_atom_site_label
_atom_site_type_symbol
_atom_site_fract_x
_atom_site_fract_y
_atom_site_fract_z
Sb1 Sb 0.5000 0.5000 0.5000
Ta1 Ta 0.2500 0.2500 0.2500
C1 C 0.0000 0.0000 0.0000
Ta2 Ta 0.7500 0.7500 0.7500
# Energy relative to the elements, uncorrected ... 974 meV per atom

=====

No. 11
# TaSbC | the Alexandria database | GGA-PBE | optimized geometry
data_TaSbC
_symmetry_space_group_name_H-M 'P 1'
_symmetry_Int_Tables_number 1
_cell_length_a 3.4644
_cell_length_b 3.6329
_cell_length_c 11.4961
_cell_angle_alpha 106.78
_cell_angle_beta 90.00
_cell_angle_gamma 118.48
loop_
_symmetry_equiv_pos_as_xyz
'x,y,z'
loop_
_atom_site_label
_atom_site_type_symbol
_atom_site_fract_x
_atom_site_fract_y
_atom_site_fract_z
Sb1 Sb 0.5144 0.0288 0.6296
Sb2 Sb 0.4856 0.9712 0.3704
Ta1 Ta 0.7791 0.5582 0.9003
Ta2 Ta 0.2209 0.4418 0.0997
C1 C 0.9006 0.8012 0.1076
C2 C 0.0994 0.1988 0.8924
# Energy relative to the elements, uncorrected ... 181 meV per atom

=====

No. 12
# Ta2SbC | the Alexandria database | GGA-PBE | optimized geometry
data_Ta2SbC
_symmetry_space_group_name_H-M 'P 1'
_symmetry_Int_Tables_number 1
_cell_length_a 5.3563
_cell_length_b 5.3563
_cell_length_c 6.8837
_cell_angle_alpha 67.10
_cell_angle_beta 67.10
_cell_angle_gamma 90.00
loop_
_symmetry_equiv_pos_as_xyz
'x,y,z'
loop_
_atom_site_label
_atom_site_type_symbol
_atom_site_fract_x
_atom_site_fract_y
_atom_site_fract_z
Ta1 Ta 0.2479 0.6250 0.2500
Ta2 Ta 0.3750 0.4979 0.7500
C1 C 0.5000 0.5000 0.0000
Ta3 Ta 0.5021 0.1250 0.2500
Sb1 Sb 0.7500 0.2500 0.5000
C2 C 0.2500 0.7500 0.5000
Sb2 Sb 0.0000 0.0000 0.0000
Ta4 Ta 0.8750 0.7521 0.7500
# Energy relative to the elements, uncorrected ... 408 meV per atom

=====

No. 13
# TaSb3C | the Alexandria database | GGA-PBE | optimized geometry
data_TaSb3C
_symmetry_space_group_name_H-M 'P 1'
_symmetry_Int_Tables_number 1
_cell_length_a 5.3164
_cell_length_b 5.3164
_cell_length_c 5.3164
_cell_angle_alpha 90.00
_cell_angle_beta 90.00
_cell_angle_gamma 90.00
loop_
_symmetry_equiv_pos_as_xyz
'x,y,z'
loop_
_atom_site_label
_atom_site_type_symbol
_atom_site_fract_x
_atom_site_fract_y
_atom_site_fract_z
Ta1 Ta 0.0000 0.0000 0.0000
Sb1 Sb 0.0000 0.0000 0.5000
C1 C 0.5000 0.5000 0.5000
Sb2 Sb 0.5000 0.0000 0.0000
Sb3 Sb 0.0000 0.5000 0.0000
# Energy relative to the elements, uncorrected ... 1662 meV per atom
# Energy above the most stable polymorph in this dataset ... 0.486 eV per atom

=====

No. 14
# Ta3SbC | the Alexandria database | GGA-PBE | optimized geometry
data_Ta3SbC
_symmetry_space_group_name_H-M 'P 1'
_symmetry_Int_Tables_number 1
_cell_length_a 4.3504
_cell_length_b 4.3504
_cell_length_c 4.3504
_cell_angle_alpha 90.00
_cell_angle_beta 90.00
_cell_angle_gamma 90.00
loop_
_symmetry_equiv_pos_as_xyz
'x,y,z'
loop_
_atom_site_label
_atom_site_type_symbol
_atom_site_fract_x
_atom_site_fract_y
_atom_site_fract_z
Ta1 Ta 0.0000 0.0000 0.5000
Ta2 Ta 0.0000 0.5000 0.0000
Ta3 Ta 0.5000 0.0000 0.0000
C1 C 0.0000 0.0000 0.0000
Sb1 Sb 0.5000 0.5000 0.5000
# Energy relative to the elements, uncorrected ... 50 meV per atom

=====

No. 15
# TaSb2C | the Alexandria database | GGA-PBE | optimized geometry
data_TaSb2C
_symmetry_space_group_name_H-M 'P 1'
_symmetry_Int_Tables_number 1
_cell_length_a 6.2605
_cell_length_b 6.2605
_cell_length_c 6.1613
_cell_angle_alpha 59.47
_cell_angle_beta 59.47
_cell_angle_gamma 90.00
loop_
_symmetry_equiv_pos_as_xyz
'x,y,z'
loop_
_atom_site_label
_atom_site_type_symbol
_atom_site_fract_x
_atom_site_fract_y
_atom_site_fract_z
C1 C 0.2500 0.7500 0.5000
Ta1 Ta 0.7500 0.2500 0.5000
Sb1 Sb 0.8750 0.7979 0.7500
Sb2 Sb 0.3750 0.4521 0.7500
Sb3 Sb 0.2021 0.6250 0.2500
C2 C 0.5000 0.5000 0.0000
Ta2 Ta 0.0000 0.0000 0.0000
Sb4 Sb 0.5479 0.1250 0.2500
# Energy relative to the elements, uncorrected ... 1147 meV per atom

=====

No. 16
# TaSb3C | the Alexandria database | GGA-PBE | optimized geometry
data_TaSb3C
_symmetry_space_group_name_H-M 'P 1'
_symmetry_Int_Tables_number 1
_cell_length_a 4.6593
_cell_length_b 4.6593
_cell_length_c 4.6593
_cell_angle_alpha 90.00
_cell_angle_beta 90.00
_cell_angle_gamma 90.00
loop_
_symmetry_equiv_pos_as_xyz
'x,y,z'
loop_
_atom_site_label
_atom_site_type_symbol
_atom_site_fract_x
_atom_site_fract_y
_atom_site_fract_z
C1 C 0.0000 0.0000 0.0000
Ta1 Ta 0.5000 0.5000 0.5000
Sb1 Sb 0.5000 0.0000 0.0000
Sb2 Sb 0.0000 0.5000 0.0000
Sb3 Sb 0.0000 0.0000 0.5000
# Energy relative to the elements, uncorrected ... 1176 meV per atom
# Energy above the most stable polymorph in this dataset ... 0.000 eV per atom

=====

No. 17
# TaSbTe2C | the Alexandria database | GGA-PBE | optimized geometry
data_TaSbTe2C
_symmetry_space_group_name_H-M 'P 1'
_symmetry_Int_Tables_number 1
_cell_length_a 4.6527
_cell_length_b 4.6527
_cell_length_c 4.6959
_cell_angle_alpha 90.00
_cell_angle_beta 90.00
_cell_angle_gamma 90.00
loop_
_symmetry_equiv_pos_as_xyz
'x,y,z'
loop_
_atom_site_label
_atom_site_type_symbol
_atom_site_fract_x
_atom_site_fract_y
_atom_site_fract_z
Ta1 Ta 0.5000 0.5000 0.5000
Te1 Te 0.5000 0.0000 0.0000
C1 C 0.0000 0.0000 0.0000
Sb1 Sb 0.0000 0.0000 0.5000
Te2 Te 0.0000 0.5000 0.0000
# Energy relative to the elements, uncorrected ... 1226 meV per atom
# Energy above the most stable polymorph in this dataset ... 0.000 eV per atom

=====

No. 18
# TaSbTe2C | the Alexandria database | GGA-PBE | optimized geometry
data_TaSbTe2C
_symmetry_space_group_name_H-M 'P 1'
_symmetry_Int_Tables_number 1
_cell_length_a 5.3371
_cell_length_b 5.3371
_cell_length_c 5.4171
_cell_angle_alpha 90.00
_cell_angle_beta 90.00
_cell_angle_gamma 90.00
loop_
_symmetry_equiv_pos_as_xyz
'x,y,z'
loop_
_atom_site_label
_atom_site_type_symbol
_atom_site_fract_x
_atom_site_fract_y
_atom_site_fract_z
Sb1 Sb 0.0000 0.0000 0.5000
Te1 Te 0.0000 0.5000 0.0000
Te2 Te 0.5000 0.0000 0.0000
Ta1 Ta 0.0000 0.0000 0.0000
C1 C 0.5000 0.5000 0.5000
# Energy relative to the elements, uncorrected ... 1592 meV per atom
# Energy above the most stable polymorph in this dataset ... 0.366 eV per atom

=====

No. 19
# Tb2SbC | the Alexandria database | GGA-PBE | optimized geometry
data_Tb2SbC
_symmetry_space_group_name_H-M 'P 1'
_symmetry_Int_Tables_number 1
_cell_length_a 5.0371
_cell_length_b 6.7633
_cell_length_c 10.1850
_cell_angle_alpha 90.00
_cell_angle_beta 90.00
_cell_angle_gamma 90.00
loop_
_symmetry_equiv_pos_as_xyz
'x,y,z'
loop_
_atom_site_label
_atom_site_type_symbol
_atom_site_fract_x
_atom_site_fract_y
_atom_site_fract_z
Tb1 Tb 0.7500 0.0484 0.2169
Tb2 Tb 0.7500 0.5484 0.2831
Sb1 Sb 0.7500 0.1884 0.8846
Tb3 Tb 0.2500 0.9516 0.7831
Tb4 Tb 0.7500 0.6635 0.9468
C1 C 0.2500 0.6353 0.9160
Sb2 Sb 0.7500 0.6884 0.6154
Tb5 Tb 0.2500 0.8365 0.4468
Sb3 Sb 0.2500 0.8116 0.1154
Tb6 Tb 0.2500 0.3365 0.0532
C2 C 0.7500 0.3647 0.0840
Tb7 Tb 0.7500 0.1635 0.5532
C3 C 0.2500 0.1353 0.5840
Tb8 Tb 0.2500 0.4516 0.7169
Sb4 Sb 0.2500 0.3116 0.3846
C4 C 0.7500 0.8647 0.4160
# Energy relative to the elements, uncorrected ... -564 meV per atom

=====

No. 20
# Tb2SbC | the Alexandria database | GGA-PBE | optimized geometry
data_Tb2SbC
_symmetry_space_group_name_H-M 'P 1'
_symmetry_Int_Tables_number 1
_cell_length_a 3.6032
_cell_length_b 3.6032
_cell_length_c 9.1615
_cell_angle_alpha 78.66
_cell_angle_beta 78.66
_cell_angle_gamma 60.00
loop_
_symmetry_equiv_pos_as_xyz
'x,y,z'
loop_
_atom_site_label
_atom_site_type_symbol
_atom_site_fract_x
_atom_site_fract_y
_atom_site_fract_z
Tb1 Tb 0.8831 0.8831 0.3508
Sb1 Sb 0.0000 0.0000 0.0000
Tb2 Tb 0.1169 0.1169 0.6492
C1 C 0.5000 0.5000 0.5000
# Energy relative to the elements, uncorrected ... -284 meV per atom

=====

no.,raw total energy (eV/atom),M_tot (μB/f.u.)
1,-3.9202,0.79
2,-3.6985,2.99
3,-3.3662,1.21
4,-3.7904,1.01
5,-4.0521,0.00
6,-2.4808,1.58
7,-2.6750,2.30
8,-5.9900,0.00
9,-6.0895,0.00
10,-8.2887,0.00
11,-8.2190,0.00
12,-8.8544,0.00
13,-5.0271,2.13
14,-9.7305,0.00
15,-6.1836,0.00
16,-5.5128,0.00
17,-5.0707,0.59
18,-4.7044,1.76
19,-6.2161,0.00
20,-5.9361,0.00